1.
Material: Ca2NdTl
Method: DFT, PBE
State: optimized geometry

a = 3.653 Å, b = 3.653 Å, c = 10.042 Å
α = 90.00°, β = 90.00°, γ = 90.00°
Element x y z (fractional)
Ca 0.000 0.000 0.788
Nd 0.500 0.500 0.500
Ca 0.000 0.000 0.212
Tl 0.500 0.500 0.000

Summary:
* size of the total moment: 0.000 Bohr magnetons per cell
* space group: No. 123
* calculated formation energy: -0.67 eV per formula unit
* offset from the most stable computed form: 31 meV/atom
* calculated volume: 134.0 Å³/f.u.

2.
Material: CaNdTl2
Method: DFT, PBE
State: optimized geometry

a = 4.272 Å, b = 5.259 Å, c = 5.259 Å
α = 90.00°, β = 90.00°, γ = 90.00°
Element x y z (fractional)
Nd 0.500 0.500 0.500
Ca 0.500 0.000 0.000
Tl 0.000 0.000 0.500
Tl 0.000 0.500 0.000

Summary:
* size of the total moment: 0.000 Bohr magnetons per cell
* space group: No. 123
* calculated formation energy: -1.61 eV per formula unit
* calculated volume: 118.2 Å³/f.u.

3.
Material: CaNd3Tl4
Method: DFT, PBE
State: optimized geometry

a = 3.748 Å, b = 7.496 Å, c = 10.078 Å
α = 111.83°, β = 100.72°, γ = 90.00°
Element x y z (fractional)
Tl 0.627 0.838 0.255
Tl 0.373 0.162 0.745
Tl 0.373 0.583 0.745
Nd 0.214 0.214 0.429
Nd 0.786 0.786 0.571
Tl 0.627 0.417 0.255
Nd 0.000 0.500 0.000
Ca 0.500 0.000 0.000

Summary:
* size of the total moment: 0.000 Bohr magnetons per cell
* space group: No. 71
* calculated formation energy: -2.17 eV per formula unit
* offset from the most stable computed form: 130 meV/atom
* calculated volume: 257.5 Å³/f.u.

4.
Material: Ca2Nd5Tl4
Method: DFT, PBE
State: optimized geometry

a = 3.771 Å, b = 8.817 Å, c = 13.083 Å
α = 120.63°, β = 98.29°, γ = 90.00°
Element x y z (fractional)
Nd 0.849 0.707 0.699
Ca 0.570 0.496 0.139
Ca 0.430 0.504 0.861
Nd 0.500 0.000 0.000
Nd 0.151 0.293 0.301
Tl 0.954 0.205 0.907
Tl 0.714 0.654 0.428
Tl 0.286 0.346 0.572
Nd 0.183 0.912 0.366
Nd 0.817 0.088 0.634
Tl 0.046 0.795 0.093

Summary:
* size of the total moment: 0.000 Bohr magnetons per cell
* space group: No. 12
* calculated formation energy: -1.66 eV per formula unit
* calculated volume: 369.0 Å³/f.u.

5.
Material: CaNd2Tl
Method: DFT, PBE
State: optimized geometry

a = 4.987 Å, b = 5.037 Å, c = 5.037 Å
α = 90.00°, β = 90.00°, γ = 90.00°
Element x y z (fractional)
Nd 0.000 0.000 0.500
Ca 0.500 0.500 0.500
Tl 0.500 0.000 0.000
Nd 0.000 0.500 0.000

Summary:
* size of the total moment: 0.000 Bohr magnetons per cell
* space group: No. 123
* calculated formation energy: -0.72 eV per formula unit
* offset from the most stable computed form: 0 meV/atom
* calculated volume: 126.5 Å³/f.u.

6.
Material: CaNd2Tl
Method: DFT, PBE
State: optimized geometry

a = 5.645 Å, b = 5.645 Å, c = 5.645 Å
α = 60.00°, β = 60.00°, γ = 60.00°
Element x y z (fractional)
Nd 0.750 0.750 0.750
Nd 0.250 0.250 0.250
Tl 0.500 0.500 0.500
Ca 0.000 0.000 0.000

Summary:
* size of the total moment: 0.000 Bohr magnetons per cell
* space group: No. 225
* calculated formation energy: -0.47 eV per formula unit
* offset from the most stable computed form: 62 meV/atom
* calculated volume: 127.2 Å³/f.u.

7.
Material: CaNd2Tl
Method: DFT, PBE
State: optimized geometry

a = 5.617 Å, b = 5.617 Å, c = 5.727 Å
α = 60.63°, β = 60.63°, γ = 60.00°
Element x y z (fractional)
Ca 0.494 0.494 0.517
Tl 0.754 0.754 0.738
Nd 0.009 0.009 0.973
Nd 0.243 0.243 0.272

Summary:
* size of the total moment: 0.004 Bohr magnetons per cell
* space group: No. 160
* calculated formation energy: 0.04 eV per formula unit
* offset from the most stable computed form: 191 meV/atom
* calculated volume: 129.0 Å³/f.u.

8.
Material: CaNd4Tl2
Method: DFT, PBE
State: optimized geometry

a = 9.104 Å, b = 9.090 Å, c = 9.094 Å
α = 134.94°, β = 105.29°, γ = 91.77°
Element x y z (fractional)
Nd 0.757 0.026 0.736
Ca 0.157 0.157 0.001
Nd 0.493 0.726 0.766
Tl 0.625 0.374 0.249
Nd 0.872 0.635 0.762
Nd 0.378 0.640 0.263
Nd 0.376 0.115 0.737
Nd 0.873 0.110 0.238
Nd 0.960 0.726 0.233
Ca 0.093 0.593 0.500
Tl 0.625 0.875 0.250
Nd 0.290 0.022 0.266
Tl 0.125 0.376 0.751
Tl 0.625 0.375 0.750

Summary:
* size of the total moment: 0.000 Bohr magnetons per cell
* space group: No. 1
* calculated formation energy: 0.13 eV per formula unit
* calculated volume: 243.6 Å³/f.u.

9.
Material: Ca2NdTl
Method: DFT, PBE
State: optimized geometry

a = 5.609 Å, b = 7.076 Å, c = 6.565 Å
α = 91.39°, β = 90.00°, γ = 90.00°
Element x y z (fractional)
Ca 0.750 0.979 0.326
Nd 0.250 0.522 0.609
Ca 0.250 0.720 0.110
Tl 0.250 0.246 0.187
Ca 0.250 0.021 0.674
Tl 0.750 0.754 0.813
Nd 0.750 0.478 0.391
Ca 0.750 0.280 0.890

Summary:
* size of the total moment: 0.000 Bohr magnetons per cell
* space group: No. 11
* calculated formation energy: -0.65 eV per formula unit
* offset from the most stable computed form: 34 meV/atom
* calculated volume: 130.3 Å³/f.u.

10.
Material: CaNd5Tl3
Method: DFT, PBE
State: optimized geometry

a = 6.942 Å, b = 9.651 Å, c = 9.651 Å
α = 120.00°, β = 90.00°, γ = 90.00°
Element x y z (fractional)
Ca 0.500 0.000 0.000
Nd 0.250 0.664 0.000
Nd 0.750 0.000 0.336
Ca 0.000 0.000 0.000
Tl 0.750 0.329 0.329
Nd 0.250 0.000 0.664
Nd 0.500 0.667 0.333
Nd 0.750 0.336 0.000
Nd 0.500 0.333 0.667
Tl 0.250 0.330 0.000
Nd 0.750 0.664 0.664
Tl 0.250 0.000 0.329
Tl 0.750 0.670 0.000
Nd 0.250 0.336 0.336
Nd 0.000 0.333 0.667
Tl 0.250 0.671 0.671
Tl 0.750 0.000 0.671
Nd 0.000 0.667 0.333

Summary:
* size of the total moment: 0.014 Bohr magnetons per cell
* space group: No. 193
* calculated formation energy: -2.74 eV per formula unit
* calculated volume: 280.0 Å³/f.u.

11.
Material: CaNdTl3
Method: DFT, PBE
State: optimized geometry

a = 6.734 Å, b = 7.370 Å, c = 7.370 Å
α = 120.00°, β = 90.00°, γ = 90.00°
Element x y z (fractional)
Tl 0.750 0.603 0.801
Tl 0.750 0.199 0.801
Nd 0.750 0.666 0.334
Ca 0.500 0.000 0.000
Nd 0.250 0.334 0.666
Tl 0.250 0.801 0.199
Tl 0.750 0.199 0.397
Tl 0.250 0.397 0.199
Tl 0.250 0.801 0.603
Ca 0.000 0.000 0.000

Summary:
* size of the total moment: 0.000 Bohr magnetons per cell
* space group: No. 194
* calculated formation energy: -0.59 eV per formula unit
* calculated volume: 158.4 Å³/f.u.

12.
Material: CaNd5Tl8
Method: DFT, PBE
State: optimized geometry

a = 8.239 Å, b = 8.239 Å, c = 8.239 Å
α = 109.17°, β = 110.07°, γ = 109.17°
Element x y z (fractional)
Tl 0.128 0.760 0.036
Nd 0.500 0.000 0.500
Tl 0.632 0.909 0.872
Tl 0.795 0.235 0.377
Ca 0.250 0.500 0.750
Tl 0.623 0.418 0.859
Tl 0.276 0.240 0.368
Nd 0.747 0.614 0.605
Nd 0.991 0.386 0.133
Tl 0.964 0.091 0.724
Nd 0.867 0.858 0.253
Nd 0.395 0.142 0.009
Tl 0.141 0.765 0.560
Tl 0.440 0.582 0.205

Summary:
* size of the total moment: 0.000 Bohr magnetons per cell
* space group: No. 82
* calculated formation energy: -4.23 eV per formula unit
* calculated volume: 430.5 Å³/f.u.